TiReTe after structural relaxation. Source: Alexandria, functional GGA-PBE.

Cell: 3.2310 3.2310 12.1649 Å, 90.00 90.00 120.00°
With the nearest neighbours (Å) after each atom.
Space group P-6m2 (No. 187)
One atom of each set of equivalent atoms:
Ti1 0.0000 0.0000 0.0000 x1  6 Re 2.73
Ti2 0.3333 0.6667 0.5000 x1  6 Te 2.79
Re1 0.3333 0.6667 0.1639 x2  3 Ti 2.73, 3 Te 2.74
Te1 0.0000 0.0000 0.3291 x2  3 Re 2.74, 3 Ti 2.79

Output
Density of states at the Fermi level, states/eV per atom: 0.740
Electronic total energy, eV/atom: -7.5256
Calculated volume, Å³/cell: 110.0


Ce3InS after structural relaxation. Source: Alexandria, functional GGA-PBE.

Cell: 5.2876 5.2876 5.2876 Å, 90.00 90.00 90.00°
With the nearest neighbours (Å) after each atom.
Space group Pm-3m (No. 221)
One atom of each set of equivalent atoms:
Ce1 0.0000 0.0000 0.5000 x3  2 S 2.64
In1 0.5000 0.5000 0.5000 x1  12 Ce 3.74
S1 0.0000 0.0000 0.0000 x1  6 Ce 2.64

Output
Density of states at the Fermi level, states/eV per atom: 2.766
Electronic total energy, eV/atom: -5.6953
Calculated volume, Å³/cell: 147.8


Pm3CdO after structural relaxation. Source: Alexandria, functional GGA-PBE.

Cell: 4.9458 4.9458 4.9458 Å, 90.00 90.00 90.00°
With the nearest neighbours (Å) after each atom.
Space group Pm-3m (No. 221)
One atom of each set of equivalent atoms:
Pm1 0.0000 0.0000 0.5000 x3  2 O 2.47
Cd1 0.5000 0.5000 0.5000 x1  12 Pm 3.50
O1 0.0000 0.0000 0.0000 x1  6 Pm 2.47

Output
Density of states at the Fermi level, states/eV per atom: 0.647
Electronic total energy, eV/atom: -5.3228
Calculated volume, Å³/cell: 121.0